Record 1
Material: HfCdO3
Method: DFT, PBEsol
State: relaxed

Cell and atoms, written as POSCAR:
```
HfCdO3
1.0
-0.303 4.720 -2.761
1.622 -2.653 -4.714
-7.599 -1.518 -1.761
Hf Cd O
4 4 12
direct
0.000 0.000 0.000
0.500 0.500 0.000
0.000 0.000 0.500
0.500 0.500 0.500
0.011 0.454 0.250
0.989 0.546 0.750
0.511 0.046 0.750
0.489 0.954 0.250
0.309 0.194 0.058
0.691 0.806 0.942
0.809 0.306 0.942
0.691 0.806 0.558
0.191 0.694 0.058
0.309 0.194 0.442
0.191 0.694 0.442
0.809 0.306 0.558
0.609 0.547 0.250
0.391 0.453 0.750
0.109 0.953 0.750
0.891 0.047 0.250
```

Properties
- E_form (uncorrected) (eV/atom) = -2.550



Record 2
Material: DyAl3C3
Method: DFT, PBEsol
State: relaxed

Cell and atoms, written as POSCAR:
```
DyAl3C3
1.0
-2.356 0.029 -2.471
1.281 -2.967 1.102
-12.422 -0.970 11.832
C Al Dy
6 6 2
direct
0.333 0.667 0.592
0.667 0.333 0.408
0.667 0.333 0.092
0.333 0.667 0.908
0.333 0.667 0.250
0.667 0.333 0.750
0.333 0.667 0.133
0.667 0.333 0.867
0.667 0.333 0.633
0.333 0.667 0.367
0.333 0.667 0.750
0.667 0.333 0.250
0.000 0.000 0.000
0.000 0.000 0.500
```

Properties
- formation enthalpy at 0 K (eV/atom) = -0.324



Record 3
Material: BeTe2Se
Method: DFT, PBEsol
State: relaxed

Cell and atoms, written as POSCAR:
```
BeTe2Se
1.0
4.959 0.015 0.025
-1.786 4.626 -0.025
-1.786 -2.184 4.078
Be Te Se
1 2 1
direct
0.000 0.500 0.500
0.500 0.500 0.000
0.500 0.000 0.500
0.000 0.000 0.000
```

Properties
- E_form (uncorrected) (eV/atom) = 0.173
- offset from the most stable computed form (meV/atom) = 22



Record 4
Material: Li2Al
Method: DFT, PBEsol
State: relaxed

Cell and atoms, written as POSCAR:
```
Li2Al
1.0
4.409 0.000 0.000
0.000 4.544 0.000
0.000 2.272 4.824
Al Li
2 4
direct
0.750 0.077 0.847
0.250 0.923 0.153
0.750 0.410 0.179
0.250 0.590 0.821
0.250 0.242 0.516
0.750 0.758 0.484
```

Properties
- formation enthalpy at 0 K (eV/atom) = -0.155